No. 1
{"formula": "TmPaTcHg", "functional": "PBE-GGA", "state": "optimized geometry", "cell": [[7.108, 0.000, 0.000], [0.000, 7.108, 0.000], [0.000, 0.000, 7.108]], "species": ["Tm", "Tm", "Tm", "Tm", "Pa", "Pa", "Pa", "Pa", "Tc", "Tc", "Tc", "Tc", "Hg", "Hg", "Hg", "Hg"], "fractional_positions": [[0.000, 0.000, 0.000], [0.000, 0.500, 0.500], [0.500, 0.000, 0.500], [0.500, 0.500, 0.000], [0.000, 0.000, 0.500], [0.000, 0.500, 0.000], [0.500, 0.000, 0.000], [0.500, 0.500, 0.500], [0.250, 0.250, 0.750], [0.250, 0.750, 0.250], [0.750, 0.250, 0.250], [0.750, 0.750, 0.750], [0.250, 0.250, 0.250], [0.250, 0.750, 0.750], [0.750, 0.250, 0.750], [0.750, 0.750, 0.250]], "dos_at_fermi_per_ev_cell": 16.0, "formation_energy_ev_per_fu": -0.08, "crystal_system": "cubic", "magmom_total_mub_per_fu": 0.00, "total_energy_ev_per_atom": -6.1779}

---

No. 2
{"formula": "LiZrBr4", "functional": "PBE-GGA", "state": "optimized geometry", "cell": [[7.007, 0.000, 0.000], [0.000, 7.007, 0.000], [0.000, 0.000, 9.149]], "species": ["Li", "Li", "Zr", "Zr", "Br", "Br", "Br", "Br", "Br", "Br", "Br", "Br"], "fractional_positions": [[0.000, 0.000, 0.000], [0.500, 0.500, 0.500], [0.000, 0.500, 0.250], [0.500, 0.000, 0.750], [0.215, 0.765, 0.140], [0.235, 0.215, 0.860], [0.265, 0.285, 0.360], [0.285, 0.735, 0.640], [0.715, 0.265, 0.640], [0.735, 0.715, 0.360], [0.765, 0.785, 0.860], [0.785, 0.235, 0.140]], "dos_at_fermi_per_ev_cell": 1.9, "e_above_lowest_polymorph_mev_per_atom": 168, "crystal_system": "tetragonal", "e_form_raw_ev_per_atom": -1.21, "magmom_total_mub_per_fu": 1.01, "total_energy_ev_per_atom": -4.0693}

---

No. 3
{"formula": "LiCoAu2", "functional": "PBE-GGA", "state": "optimized geometry", "cell": [[2.850, 0.000, 0.000], [-1.425, 2.468, 0.000], [0.000, 0.000, 26.222]], "species": ["Li", "Li", "Li", "Co", "Co", "Co", "Au", "Au", "Au", "Au", "Au", "Au"], "fractional_positions": [[0.000, 0.000, 0.000], [0.333, 0.667, 0.667], [0.667, 0.333, 0.333], [0.000, 0.000, 0.500], [0.333, 0.667, 0.167], [0.667, 0.333, 0.833], [0.000, 0.000, 0.249], [0.000, 0.000, 0.751], [0.333, 0.667, 0.417], [0.333, 0.667, 0.916], [0.667, 0.333, 0.084], [0.667, 0.333, 0.583]], "dos_at_fermi_per_ev_cell": 12.4, "formation_energy_ev_per_fu": 0.08, "crystal_system": "trigonal", "magmom_total_mub_per_fu": 1.64, "total_energy_ev_per_atom": -3.8730}

---

No. 4
{"formula": "Li2Cu5Pt2", "functional": "PBE-GGA", "state": "optimized geometry", "cell": [[-2.328, 5.551, 4.739], [2.328, -5.551, 4.739], [2.328, 5.551, -4.739]], "species": ["Li", "Li", "Li", "Li", "Cu", "Cu", "Cu", "Cu", "Cu", "Cu", "Cu", "Cu", "Cu", "Cu", "Pt", "Pt", "Pt", "Pt"], "fractional_positions": [[0.155, 0.035, 0.119], [0.416, 0.035, 0.381], [0.584, 0.965, 0.619], [0.845, 0.965, 0.881], [0.065, 0.815, 0.250], [0.196, 0.000, 0.696], [0.196, 0.500, 0.196], [0.345, 0.700, 0.645], [0.445, 0.300, 0.145], [0.555, 0.700, 0.855], [0.655, 0.300, 0.355], [0.804, 0.000, 0.304], [0.804, 0.500, 0.804], [0.935, 0.185, 0.750], [0.000, 0.500, 0.500], [0.201, 0.451, 0.750], [0.500, 0.500, 0.000], [0.799, 0.549, 0.250]], "dos_at_fermi_per_ev_cell": 5.0, "formation_energy_ev_per_fu": -1.32, "crystal_system": "orthorhombic", "magmom_total_mub_per_fu": 0.00, "total_energy_ev_per_atom": -4.1901}